Below is crystalline CaMgCl at its relaxed geometry, with properties calculated at the PBE level.

DFT total energy = -2.7081 eV/atom
Symmetry = No. 107
ΔE_f (raw) = -0.894 eV/atom
Magnetization = 0.000 μB/cell
Excess energy over the best structure of this formula in the dataset = 0 meV/atom

CIF file:
```
data_CaMgCl
_chemical_formula_sum 'Ca1 Mg1 Cl1'
_symmetry_space_group_name_H-M 'P 1'
_symmetry_Int_Tables_number 1
_cell_length_a 7.748
_cell_length_b 7.747
_cell_length_c 3.593
_cell_angle_alpha 76.60
_cell_angle_beta 76.59
_cell_angle_gamma 26.82
loop_
_symmetry_equiv_pos_as_xyz
'x,y,z'
loop_
_atom_site_label
_atom_site_type_symbol
_atom_site_fract_x
_atom_site_fract_y
_atom_site_fract_z
_atom_site_occupancy
Ca1 Ca 0.978 0.978 0.022 1
Cl1 Cl 0.385 0.385 0.615 1
Mg1 Mg 0.637 0.637 0.363 1
```

Below is crystalline Pa2AlIn at its relaxed geometry, with properties calculated at the PBE level.

DFT total energy = -6.4278 eV/atom
Symmetry = No. 123
Formation energy from the elements = -59.6 meV/atom
Magnetization = 0.003 μB/cell
Excess energy over the best structure of this formula in the dataset = 29 meV/atom

CIF file:
```
data_Pa2AlIn
_chemical_formula_sum 'Pa2 Al1 In1'
_symmetry_space_group_name_H-M 'P 1'
_symmetry_Int_Tables_number 1
_cell_length_a 4.779
_cell_length_b 4.391
_cell_length_c 4.391
_cell_angle_alpha 90.00
_cell_angle_beta 90.00
_cell_angle_gamma 90.00
loop_
_symmetry_equiv_pos_as_xyz
'x,y,z'
loop_
_atom_site_label
_atom_site_type_symbol
_atom_site_fract_x
_atom_site_fract_y
_atom_site_fract_z
_atom_site_occupancy
Pa1 Pa 0.000 0.000 0.500 1
Pa2 Pa 0.000 0.500 0.000 1
Al1 Al 0.500 0.000 0.000 1
In1 In 0.500 0.500 0.500 1
```

Below is crystalline Lu4Zn5Ge6 at its relaxed geometry, with properties calculated at the PBE level.

DFT total energy = -3.9674 eV/atom
Symmetry = No. 36
Formation energy from the elements = -490.2 meV/atom
Magnetization = 0.000 μB/cell

CIF file:
```
data_Lu4Zn5Ge6
_chemical_formula_sum 'Lu8 Zn10 Ge12'
_symmetry_space_group_name_H-M 'P 1'
_symmetry_Int_Tables_number 1
_cell_length_a 9.427
_cell_length_b 9.427
_cell_length_c 15.074
_cell_angle_alpha 90.00
_cell_angle_beta 90.00
_cell_angle_gamma 154.21
loop_
_symmetry_equiv_pos_as_xyz
'x,y,z'
loop_
_atom_site_label
_atom_site_type_symbol
_atom_site_fract_x
_atom_site_fract_y
_atom_site_fract_z
_atom_site_occupancy
Zn1 Zn 0.565 0.435 0.314 1
Zn2 Zn 0.435 0.565 0.814 1
Zn3 Zn 0.848 0.152 0.374 1
Zn4 Zn 0.152 0.848 0.874 1
Zn5 Zn 0.349 0.651 0.518 1
Zn6 Zn 0.651 0.349 0.018 1
Zn7 Zn 0.699 0.301 0.377 1
Zn8 Zn 0.301 0.699 0.877 1
Zn9 Zn 0.655 0.345 0.726 1
Zn10 Zn 0.345 0.655 0.226 1
Lu1 Lu 0.033 0.967 0.736 1
Lu2 Lu 0.967 0.033 0.236 1
Lu3 Lu 0.833 0.167 0.698 1
Lu4 Lu 0.167 0.833 0.198 1
Lu5 Lu 0.174 0.826 0.557 1
Lu6 Lu 0.826 0.174 0.057 1
Lu7 Lu 0.981 0.019 0.501 1
Lu8 Lu 0.019 0.981 0.001 1
Ge1 Ge 0.229 0.771 0.734 1
Ge2 Ge 0.569 0.431 0.590 1
Ge3 Ge 0.225 0.775 0.018 1
Ge4 Ge 0.775 0.225 0.518 1
Ge5 Ge 0.561 0.439 0.146 1
Ge6 Ge 0.439 0.561 0.646 1
Ge7 Ge 0.567 0.433 0.871 1
Ge8 Ge 0.433 0.567 0.371 1
Ge9 Ge 0.887 0.113 0.884 1
Ge10 Ge 0.113 0.887 0.384 1
Ge11 Ge 0.431 0.569 0.090 1
Ge12 Ge 0.771 0.229 0.234 1
```